Record 1
First-principles (PBE) data for an optimized crystal structure of La4TbDy2Ho, as listed in Alexandria via LeMat-Bulk.

a b c (Å): 5.2222 5.2585 9.9553
angles (deg): 90.00 90.00 90.00
Fractional positions:
La1 0.0000 0.0000 0.2495
La2 0.0000 0.0000 0.7505
La3 0.5000 0.5000 0.2493
La4 0.5000 0.5000 0.7507
Tb1 0.0000 0.5000 0.5000
Dy1 0.0000 0.5000 0.0000
Dy2 0.5000 0.0000 0.5000
Ho1 0.5000 0.0000 0.0000

Its formation enthalpy at 0 K is 0.16 eV/f.u. The calculation puts the volume at 34.17 A^3/atom. Its space-group type is Pmmm, No. 47. The density of states at the Fermi level is 10.80 states/eV/f.u.

Record 2
First-principles (PBE) data for an optimized crystal structure of LaTb2DyHo6, as listed in Alexandria via LeMat-Bulk.

a b c (Å): 8.7979 8.7979 9.5155
angles (deg): 93.28 93.28 117.74
Fractional positions:
La1 0.0277 0.9723 0.7500
La2 0.9723 0.0277 0.2500
Tb1 0.1978 0.3043 0.5482
Tb2 0.3043 0.1978 0.0482
Tb3 0.6957 0.8022 0.9518
Tb4 0.8022 0.6957 0.4518
Dy1 0.4098 0.5902 0.2500
Dy2 0.5902 0.4098 0.7500
Ho1 0.0182 0.5631 0.6818
Ho2 0.1251 0.7483 0.0583
Ho3 0.2517 0.8749 0.4417
Ho4 0.2919 0.5102 0.8831
Ho5 0.4369 0.9818 0.8182
Ho6 0.4898 0.7081 0.6169
Ho7 0.5102 0.2919 0.3831
Ho8 0.5631 0.0182 0.1818
Ho9 0.7081 0.4898 0.1169
Ho10 0.7483 0.1251 0.5583
Ho11 0.8749 0.2517 0.9417
Ho12 0.9818 0.4369 0.3182

Its formation enthalpy at 0 K is 1.21 eV/f.u. The calculation puts the volume at 32.39 A^3/atom. Its space-group type is C2/c, No. 15. The density of states at the Fermi level is 15.33 states/eV/f.u.

Record 3
First-principles (PBE) data for an optimized crystal structure of La6TbDy2Ho, as listed in Alexandria via LeMat-Bulk.

a b c (Å): 6.7199 6.7199 9.1888
angles (deg): 104.02 104.02 62.96
Fractional positions:
La1 0.0829 0.5335 0.1949
La2 0.1313 0.1313 0.4257
La3 0.4665 0.9171 0.8051
La4 0.5335 0.0829 0.1949
La5 0.8687 0.8687 0.5743
La6 0.9171 0.4665 0.8051
Tb1 0.5000 0.5000 0.5000
Dy1 0.4242 0.4242 0.8282
Dy2 0.5758 0.5758 0.1718
Ho1 0.0000 0.0000 0.0000

Its formation enthalpy at 0 K is 1.94 eV/f.u. The calculation puts the volume at 35.43 A^3/atom. Its space-group type is C2/m, No. 12. The density of states at the Fermi level is 18.96 states/eV/f.u.

Record 4
First-principles (PBE) data for an optimized crystal structure of La2Tb5DyHo, as listed in Alexandria via LeMat-Bulk.

a b c (Å): 10.3716 10.3716 10.7442
angles (deg): 90.00 90.00 148.31
Fractional positions:
La1 0.1130 0.8870 0.5000
La2 0.1162 0.8838 0.0849
La3 0.8838 0.1162 0.5849
La4 0.8870 0.1130 0.0000
Tb1 0.0162 0.9838 0.7894
Tb2 0.2808 0.7192 0.0754
Tb3 0.2990 0.7010 0.4723
Tb4 0.3873 0.6127 0.7877
Tb5 0.4805 0.5195 0.5066
Tb6 0.5195 0.4805 0.0066
Tb7 0.6127 0.3873 0.2877
Tb8 0.7010 0.2990 0.9723
Tb9 0.7192 0.2808 0.5754
Tb10 0.9838 0.0162 0.2894
Dy1 0.4120 0.5880 0.2274
Dy2 0.5880 0.4120 0.7274
Ho1 0.2007 0.7993 0.7774
Ho2 0.7993 0.2007 0.2774

Its formation enthalpy at 0 K is 1.23 eV/f.u. The calculation puts the volume at 33.73 A^3/atom. Its space-group type is Cmc2_1, No. 36. The density of states at the Fermi level is 12.44 states/eV/f.u.

Record 5
First-principles (PBE) data for an optimized crystal structure of La3Tb2Dy6Ho, as listed in Alexandria via LeMat-Bulk.

a b c (Å): 6.2341 6.2341 11.8837
angles (deg): 95.02 95.02 120.02
Fractional positions:
La1 0.0000 0.0000 0.0000
La2 0.3334 0.6666 0.0000
La3 0.6666 0.3334 0.0000
Tb1 0.1666 0.8334 0.5000
Tb2 0.8334 0.1666 0.5000
Dy1 0.0854 0.4186 0.2555
Dy2 0.2483 0.2483 0.7445
Dy3 0.4186 0.0854 0.2555
Dy4 0.5814 0.9146 0.7445
Dy5 0.7517 0.7517 0.2555
Dy6 0.9146 0.5814 0.7445
Ho1 0.5000 0.5000 0.5000

Its formation enthalpy at 0 K is 0.25 eV/f.u. The calculation puts the volume at 32.81 A^3/atom. Its space-group type is C2/m, No. 12. The density of states at the Fermi level is 16.60 states/eV/f.u.

Record 6
First-principles (PBE) data for an optimized crystal structure of La3Tb6DyHo2, as listed in Alexandria via LeMat-Bulk.

a b c (Å): 6.2412 6.2412 11.9235
angles (deg): 95.01 95.01 120.03
Fractional positions:
La1 0.0000 0.0000 0.0000
La2 0.3332 0.6668 0.0000
La3 0.6668 0.3332 0.0000
Tb1 0.0854 0.4189 0.2563
Tb2 0.2477 0.2477 0.7438
Tb3 0.4189 0.0854 0.2563
Tb4 0.5811 0.9146 0.7437
Tb5 0.7523 0.7523 0.2562
Tb6 0.9146 0.5811 0.7437
Dy1 0.5000 0.5000 0.5000
Ho1 0.1667 0.8333 0.5000
Ho2 0.8333 0.1667 0.5000

Its formation enthalpy at 0 K is 0.26 eV/f.u. The calculation puts the volume at 32.99 A^3/atom. Its space-group type is C2/m, No. 12. The density of states at the Fermi level is 17.28 states/eV/f.u.

Record 7
First-principles (PBE) data for an optimized crystal structure of La4Tb2Dy2Ho, as listed in Alexandria via LeMat-Bulk.

a b c (Å): 9.6197 9.6197 8.9022
angles (deg): 90.01 90.01 21.84
Fractional positions:
La1 0.0550 0.0550 0.1721
La2 0.2771 0.2771 0.8274
La3 0.7229 0.7229 0.1726
La4 0.9450 0.9450 0.8279
Tb1 0.3889 0.3889 0.1710
Tb2 0.6111 0.6111 0.8290
Dy1 0.1657 0.1657 0.5024
Dy2 0.8343 0.8343 0.4976
Ho1 0.5000 0.5000 0.5000

Its formation enthalpy at 0 K is 0.25 eV/f.u. The calculation puts the volume at 34.05 A^3/atom. Its space-group type is C2/m, No. 12. The density of states at the Fermi level is 15.69 states/eV/f.u.

Record 8
First-principles (PBE) data for an optimized crystal structure of LaTb2Dy4Ho, as listed in Alexandria via LeMat-Bulk.

a b c (Å): 7.1396 10.0656 7.1628
angles (deg): 90.00 90.06 90.00
Fractional positions:
La1 0.0000 0.0000 0.0000
La2 0.0000 0.0000 0.5000
Tb1 0.0000 0.5000 0.0000
Tb2 0.5000 0.0000 0.0000
Tb3 0.5000 0.5000 0.0000
Tb4 0.5000 0.5000 0.5000
Dy1 0.2522 0.2528 0.2507
Dy2 0.2524 0.2528 0.7496
Dy3 0.2522 0.7472 0.2507
Dy4 0.2524 0.7472 0.7496
Dy5 0.7476 0.2528 0.2504
Dy6 0.7478 0.2528 0.7493
Dy7 0.7476 0.7472 0.2504
Dy8 0.7478 0.7472 0.7493
Ho1 0.0000 0.5000 0.5000
Ho2 0.5000 0.0000 0.5000

Its formation enthalpy at 0 K is 0.14 eV/f.u. The calculation puts the volume at 32.17 A^3/atom. Its space-group type is P2/m, No. 10. The density of states at the Fermi level is 10.11 states/eV/f.u.

Record 9
First-principles (PBE) data for an optimized crystal structure of LaTb6Dy2Ho, as listed in Alexandria via LeMat-Bulk.

a b c (Å): 8.8286 8.8286 9.5489
angles (deg): 93.24 93.24 117.50
Fractional positions:
La1 0.0286 0.9714 0.7500
La2 0.9714 0.0286 0.2500
Tb1 0.0152 0.5609 0.6821
Tb2 0.1231 0.7507 0.0572
Tb3 0.2493 0.8769 0.4428
Tb4 0.2924 0.5111 0.8828
Tb5 0.4391 0.9848 0.8179
Tb6 0.4889 0.7076 0.6172
Tb7 0.5111 0.2924 0.3828
Tb8 0.5609 0.0152 0.1821
Tb9 0.7076 0.4889 0.1172
Tb10 0.7507 0.1231 0.5572
Tb11 0.8769 0.2493 0.9428
Tb12 0.9848 0.4391 0.3179
Dy1 0.2000 0.3051 0.5486
Dy2 0.3051 0.2000 0.0486
Dy3 0.6949 0.8000 0.9514
Dy4 0.8000 0.6949 0.4514
Ho1 0.4100 0.5900 0.2500
Ho2 0.5900 0.4100 0.7500

Its formation enthalpy at 0 K is 1.20 eV/f.u. The calculation puts the volume at 32.81 A^3/atom. Its space-group type is C2/c, No. 15. The density of states at the Fermi level is 14.89 states/eV/f.u.

Record 10
First-principles (PBE) data for an optimized crystal structure of La4TbDyHo2, as listed in Alexandria via LeMat-Bulk.

a b c (Å): 5.2226 5.2562 9.9399
angles (deg): 90.00 90.00 90.00
Fractional positions:
La1 0.0000 0.0000 0.2502
La2 0.0000 0.0000 0.7498
La3 0.5000 0.5000 0.2503
La4 0.5000 0.5000 0.7497
Tb1 0.0000 0.5000 0.0000
Dy1 0.5000 0.0000 0.5000
Ho1 0.0000 0.5000 0.5000
Ho2 0.5000 0.0000 0.0000

Its formation enthalpy at 0 K is 0.16 eV/f.u. The calculation puts the volume at 34.11 A^3/atom. Its space-group type is Pmmm, No. 47. The density of states at the Fermi level is 10.81 states/eV/f.u.

Record 11
First-principles (PBE) data for an optimized crystal structure of LaTb3DyHo, as listed in Alexandria via LeMat-Bulk.

a b c (Å): 10.3540 10.3540 7.0188
angles (deg): 90.77 90.77 31.82
Fractional positions:
La1 0.1441 0.1441 0.0256
La2 0.8559 0.8559 0.9744
Tb1 0.0221 0.0221 0.7353
Tb2 0.2797 0.2797 0.7559
Tb3 0.3379 0.3379 0.2748
Tb4 0.6621 0.6621 0.7252
Tb5 0.7203 0.7203 0.2441
Tb6 0.9779 0.9779 0.2647
Dy1 0.4456 0.4456 0.7265
Dy2 0.5544 0.5544 0.2735
Ho1 0.1485 0.1485 0.4587
Ho2 0.8515 0.8515 0.5413

Its formation enthalpy at 0 K is 1.25 eV/f.u. The calculation puts the volume at 33.05 A^3/atom. Its space-group type is C2/m, No. 12. The density of states at the Fermi level is 9.33 states/eV/f.u.

Record 12
First-principles (PBE) data for an optimized crystal structure of LaTbDyHo2, as listed in Alexandria via LeMat-Bulk.

a b c (Å): 3.6006 5.5835 8.6063
angles (deg): 90.00 90.00 90.00
Fractional positions:
La1 0.0000 0.0000 0.0000
Tb1 0.5000 0.0000 0.5000
Dy1 0.5000 0.5000 0.0000
Ho1 0.0000 0.5000 0.3197
Ho2 0.0000 0.5000 0.6803

Its formation enthalpy at 0 K is 1.32 eV/f.u. The calculation puts the volume at 34.60 A^3/atom. Its space-group type is Pmmm, No. 47. The density of states at the Fermi level is 8.39 states/eV/f.u.

Record 13
First-principles (PBE) data for an optimized crystal structure of LaTb6Dy2Ho3, as listed in Alexandria via LeMat-Bulk.

a b c (Å): 6.1729 6.1729 11.8266
angles (deg): 94.97 94.97 119.97
Fractional positions:
La1 0.0000 0.0000 0.0000
Tb1 0.0851 0.4197 0.2530
Tb2 0.2497 0.2497 0.7470
Tb3 0.4197 0.0851 0.2530
Tb4 0.5803 0.9149 0.7470
Tb5 0.7503 0.7503 0.2530
Tb6 0.9149 0.5803 0.7470
Dy1 0.3334 0.6666 0.0000
Dy2 0.6666 0.3334 0.0000
Ho1 0.1670 0.8330 0.5000
Ho2 0.5000 0.5000 0.5000
Ho3 0.8330 0.1670 0.5000

Its formation enthalpy at 0 K is 0.23 eV/f.u. The calculation puts the volume at 32.04 A^3/atom. Its space-group type is C2/m, No. 12. The density of states at the Fermi level is 15.78 states/eV/f.u.

Record 14
First-principles (PBE) data for an optimized crystal structure of La4DyHo3Te8, as listed in Alexandria via LeMat-Bulk.

a b c (Å): 9.0024 9.0024 9.0024
angles (deg): 58.82 58.82 58.82
Fractional positions:
La1 0.0000 0.0000 0.0000
La2 0.0000 0.5000 0.5000
La3 0.5000 0.0000 0.5000
La4 0.5000 0.5000 0.0000
Dy1 0.5000 0.5000 0.5000
Ho1 0.0000 0.0000 0.5000
Ho2 0.0000 0.5000 0.0000
Ho3 0.5000 0.0000 0.0000
Te1 0.2431 0.7443 0.7443
Te2 0.2437 0.2437 0.2437
Te3 0.2557 0.2557 0.7569
Te4 0.2557 0.7569 0.2557
Te5 0.7443 0.2431 0.7443
Te6 0.7443 0.7443 0.2431
Te7 0.7563 0.7563 0.7563
Te8 0.7569 0.2557 0.2557

Its uncorrected formation energy is -1.4294 eV/atom. The calculation puts the volume at 31.38 A^3/atom. Its space-group type is R-3m, No. 166. The density of states at the Fermi level is 12.01 states/eV/f.u.

Record 15
First-principles (PBE) data for an optimized crystal structure of LaDy2HoTe6, as listed in Alexandria via LeMat-Bulk.

a b c (Å): 8.3675 8.3675 8.3675
angles (deg): 55.65 55.65 55.65
Fractional positions:
La1 0.0000 0.0000 0.0000
Dy1 0.1909 0.1909 0.1909
Dy2 0.6941 0.6941 0.6941
Ho1 0.5051 0.5051 0.5051
Te1 0.0984 0.4183 0.7862
Te2 0.3080 0.9138 0.5767
Te3 0.4183 0.7862 0.0984
Te4 0.5767 0.3080 0.9138
Te5 0.7862 0.0984 0.4183
Te6 0.9138 0.5767 0.3080

Its uncorrected formation energy is -1.3941 eV/atom. The calculation puts the volume at 37.25 A^3/atom. Its space-group type is R3, No. 146.

Record 16
First-principles (PBE) data for an optimized crystal structure of LaDyHoTe3, as listed in Alexandria via LeMat-Bulk.

a b c (Å): 8.6077 4.3450 10.8219
angles (deg): 90.00 106.17 90.00
Fractional positions:
La1 0.1874 0.2500 0.2185
La2 0.8126 0.7500 0.7815
Dy1 0.3373 0.7500 0.9068
Dy2 0.6627 0.2500 0.0932
Ho1 0.1531 0.2500 0.6224
Ho2 0.8469 0.7500 0.3776
Te1 0.0910 0.2500 0.8929
Te2 0.2243 0.7500 0.4543
Te3 0.4836 0.7500 0.2034
Te4 0.5164 0.2500 0.7966
Te5 0.7757 0.2500 0.5457
Te6 0.9090 0.7500 0.1071

Its uncorrected formation energy is -1.2827 eV/atom. The calculation puts the volume at 32.39 A^3/atom. Its space-group type is P2_1/m, No. 11. The density of states at the Fermi level is 4.60 states/eV/f.u.

Record 17
First-principles (PBE) data for an optimized crystal structure of La4Dy3HoTe8, as listed in Alexandria via LeMat-Bulk.

a b c (Å): 8.9965 8.9965 8.9965
angles (deg): 59.03 59.03 59.03
Fractional positions:
La1 0.0000 0.0000 0.0000
La2 0.0000 0.5000 0.5000
La3 0.5000 0.0000 0.5000
La4 0.5000 0.5000 0.0000
Dy1 0.0000 0.0000 0.5000
Dy2 0.0000 0.5000 0.0000
Dy3 0.5000 0.0000 0.0000
Ho1 0.5000 0.5000 0.5000
Te1 0.2443 0.2443 0.2443
Te2 0.2449 0.7437 0.7437
Te3 0.2563 0.2563 0.7551
Te4 0.2563 0.7551 0.2563
Te5 0.7437 0.2449 0.7437
Te6 0.7437 0.7437 0.2449
Te7 0.7551 0.2563 0.2563
Te8 0.7557 0.7557 0.7557

Its uncorrected formation energy is -1.4371 eV/atom. The calculation puts the volume at 31.47 A^3/atom. Its space-group type is R-3m, No. 166. The density of states at the Fermi level is 12.31 states/eV/f.u.

Record 18
First-principles (PBE) data for an optimized crystal structure of La5DyHo2Th, as listed in Alexandria via LeMat-Bulk.

a b c (Å): 11.1983 11.1983 10.6954
angles (deg): 90.00 90.00 151.54
Fractional positions:
La1 0.9999 0.0001 0.0000
La2 0.0001 0.9999 0.5000
La3 0.1276 0.8724 0.7498
La4 0.2229 0.7771 0.0570
La5 0.2232 0.7768 0.4420
La6 0.4988 0.5012 0.2500
La7 0.5012 0.4988 0.7500
La8 0.7771 0.2229 0.5570
La9 0.7768 0.2232 0.9420
La10 0.8724 0.1276 0.2498
Dy1 0.1023 0.8977 0.2499
Dy2 0.8977 0.1023 0.7499
Ho1 0.3883 0.6117 0.5066
Ho2 0.3880 0.6120 0.9932
Ho3 0.6117 0.3883 0.0066
Ho4 0.6120 0.3880 0.4932
Th1 0.2881 0.7119 0.7496
Th2 0.7119 0.2881 0.2496

Its formation enthalpy at 0 K is 1.16 eV/f.u. The calculation puts the volume at 35.50 A^3/atom. Its space-group type is Cmc2_1, No. 36. The density of states at the Fermi level is 13.00 states/eV/f.u.

Record 19
First-principles (PBE) data for an optimized crystal structure of La2Dy5HoTh, as listed in Alexandria via LeMat-Bulk.

a b c (Å): 10.2787 10.2787 10.9347
angles (deg): 90.00 90.00 148.18
Fractional positions:
La1 0.1154 0.8846 0.5000
La2 0.1161 0.8839 0.0818
La3 0.8839 0.1161 0.5818
La4 0.8846 0.1154 0.0000
Dy1 0.0148 0.9852 0.7923
Dy2 0.2811 0.7189 0.0770
Dy3 0.2988 0.7012 0.4737
Dy4 0.3902 0.6098 0.7860
Dy5 0.4812 0.5188 0.5034
Dy6 0.5188 0.4812 0.0034
Dy7 0.6098 0.3902 0.2860
Dy8 0.7012 0.2988 0.9737
Dy9 0.7189 0.2811 0.5770
Dy10 0.9852 0.0148 0.2923
Ho1 0.2015 0.7985 0.7741
Ho2 0.7985 0.2015 0.2741
Th1 0.4170 0.5830 0.2270
Th2 0.5830 0.4170 0.7270

Its formation enthalpy at 0 K is 1.47 eV/f.u. The calculation puts the volume at 33.84 A^3/atom. Its space-group type is Cmc2_1, No. 36. The density of states at the Fermi level is 13.30 states/eV/f.u.